## SmThNi (GGA-PBE)

Data for an optimized crystal structure of SmThNi.

The structure in POSCAR format:
```
SmThNi
1.0
-1.7858 1.7858 5.9049
1.7858 -1.7858 5.9049
1.7858 1.7858 -5.9049
Sm Th Ni
1 1 1
Cartesian
0.0000 0.0000 0.0000
0.0000 0.0000 3.3460
0.0000 0.0000 7.8906
```

## Properties
As for the symmetry: I4mm (107). As for the polymorph energy (0 for the lowest one): 0 meV per atom.

## SmThNi (GGA-PBE)

Data for an optimized crystal structure of SmThNi.

The structure in POSCAR format:
```
SmThNi
1.0
4.5072 0.0000 0.0000
-2.2536 3.9034 0.0000
0.0000 0.0000 4.5724
Sm Th Ni
1 1 1
Cartesian
0.0000 0.0000 0.0000
0.0000 2.6023 2.2862
2.2536 1.3011 2.2862
```

## Properties
As for the symmetry: P-6m2 (187). As for the polymorph energy (0 for the lowest one): 176 meV per atom.

## SmThNi (GGA-PBE)

Data for an optimized crystal structure of SmThNi.

The structure in POSCAR format:
```
SmThNi
1.0
0.0000 10.2373 2.8425
5.8413 0.0000 2.8425
5.8413 10.2373 0.0000
Sm Th Ni
4 4 4
Cartesian
7.0815 5.8487 2.8425
7.5218 10.9673 4.2638
4.6011 14.6259 2.8425
4.1608 9.5073 4.2638
6.6059 8.6718 1.0015
5.0766 11.8028 1.0015
7.9973 13.7905 2.4227
3.6853 6.6841 2.4227
7.7510 11.2362 1.4239
4.8303 4.1198 2.8452
3.9316 9.2384 1.4239
6.8523 16.3548 2.8452
```

## Properties
As for the symmetry: Fdd2 (43). As for the polymorph energy (0 for the lowest one): 188 meV per atom.

## SmThNi2 (GGA-PBE)

Data for an optimized crystal structure of SmThNi2.

The structure in POSCAR format:
```
SmThNi2
1.0
1.9635 1.1336 6.8802
-1.9635 1.1336 6.8802
0.0000 -2.2673 6.8802
Sm Th Ni
1 1 2
Cartesian
0.0000 0.0000 0.0000
0.0000 0.0000 17.0792
0.0000 0.0000 5.0404
0.0000 0.0000 8.5703
```

## Properties
As for the symmetry: R3m (160). As for the polymorph energy (0 for the lowest one): 165 meV per atom.

## Sm2ThNi9 (GGA-PBE)

Data for an optimized crystal structure of Sm2ThNi9.

The structure in POSCAR format:
```
Sm2ThNi9
1.0
2.5032 1.4452 8.2633
-2.5032 1.4452 8.2633
0.0000 -2.8905 8.2633
Sm Th Ni
2 1 9
Cartesian
0.0000 0.0000 3.4597
0.0000 0.0000 21.3303
0.0000 0.0000 0.0000
-1.2504 -0.7219 10.2895
0.0000 0.0000 8.2543
0.0000 -1.4438 14.5004
-1.2504 0.7219 14.5004
0.0000 0.0000 12.3950
1.2504 -0.7219 10.2895
0.0000 1.4438 10.2895
0.0000 0.0000 16.5357
1.2504 0.7219 14.5004
```

## Properties
As for the symmetry: R-3m (166).

## Sm4Tl3Ni (GGA-PBE)

Data for an optimized crystal structure of Sm4Tl3Ni.

The structure in POSCAR format:
```
Sm4Tl3Ni
1.0
3.6121 0.0000 0.0000
0.0000 3.6121 0.0000
0.0000 0.0000 16.4350
Sm Tl Ni
4 3 1
Cartesian
0.0000 0.0000 1.6374
0.0000 0.0000 6.0243
0.0000 0.0000 10.4108
0.0000 0.0000 14.7976
1.8061 1.8061 3.8623
1.8061 1.8061 8.2175
1.8061 1.8061 12.5727
1.8061 1.8061 0.0000
```

## Properties
As for the symmetry: P4/mmm (123).

Across the entries above, formation energy takes the values -0.46 0.06 0.10 -0.96 -4.73 -2.75 eV/f.u., respectively.